FeSe2Br (GGA-PBE, relaxed); raw formation energy = 0.5070 eV/atom; V = 23.29 A^3/atom; size of the total moment = 0.0 μB/cell; Fermi-level density of states = 4.65 states/eV/cell; energy = -3.77 eV per atom; E above lowest polymorph = 250 kJ/mol of formula units
1.0
1.6791 0.0000 12.7196
-0.8395 1.4541 12.7196
-0.8395 -1.4541 12.7196
Se Br Fe
2 1 1
direct
0.9411 0.9411 0.9411
0.0589 0.0589 0.0589
0.5000 0.5000 0.5000
0.0000 0.0000 0.0000